--- 1 ---
Here is crystalline LiI2OF at its relaxed geometry from the Alexandria database. Energies are from PBE-GGA.

extended XYZ file:
```
5
Lattice="5.0261 0.0000 0.0000 0.0000 5.0261 0.0000 0.0000 0.0000 4.3312" Properties=species:S:1:pos:R:3 pbc="T T T"
Li 0.0000 0.0000 0.0000
I 0.0000 2.5131 2.1656
I 2.5131 0.0000 2.1656
O 2.5131 2.5131 0.0000
F 2.5131 2.5131 2.1656
```

Output
As for the crystal system: tetragonal. Its space-group type is No. 123.

=====

--- 2 ---
Here is crystalline LiI2OF at its relaxed geometry from the Alexandria database. Energies are from PBE-GGA.

extended XYZ file:
```
5
Lattice="5.3913 0.0000 0.0000 0.0000 5.3913 0.0000 0.0000 0.0000 3.3694" Properties=species:S:1:pos:R:3 pbc="T T T"
Li 0.0000 0.0000 0.0000
I 0.0000 2.6956 0.0000
I 2.6956 0.0000 0.0000
O 0.0000 0.0000 1.6847
F 2.6956 2.6956 1.6847
```

Output
As for the crystal system: tetragonal. Its space-group type is No. 123.

=====

2 takes first place; second place is 208 meV per atom up.

=====

--- 1 ---
Here is crystalline LiSb2IF at its relaxed geometry from the Alexandria database. Energies are from PBE-GGA.

extended XYZ file:
```
5
Lattice="4.9537 0.0000 0.0000 0.0000 4.9537 0.0000 0.0000 0.0000 5.1505" Properties=species:S:1:pos:R:3 pbc="T T T"
Li 0.0000 0.0000 0.0000
Sb 0.0000 2.4768 0.0000
Sb 2.4768 0.0000 0.0000
I 0.0000 0.0000 2.5753
F 2.4768 2.4768 2.5753
```

Output
As for the crystal system: tetragonal. Its space-group type is No. 123.

=====

--- 2 ---
Here is crystalline LiSb2IF at its relaxed geometry from the Alexandria database. Energies are from PBE-GGA.

extended XYZ file:
```
5
Lattice="4.6543 0.0000 0.0000 0.0000 4.6543 0.0000 0.0000 0.0000 6.7463" Properties=species:S:1:pos:R:3 pbc="T T T"
Li 0.0000 0.0000 0.0000
Sb 0.0000 2.3271 3.3731
Sb 2.3271 0.0000 3.3731
I 2.3271 2.3271 0.0000
F 2.3271 2.3271 3.3731
```

Output
As for the crystal system: tetragonal. Its space-group type is No. 123.

=====

2 takes first place; second place is 327 meV per atom up.

=====

--- 1 ---
Here is crystalline MgIF2 at its relaxed geometry from the Alexandria database. Energies are from PBE-GGA.

extended XYZ file:
```
4
Lattice="1.7611 1.0168 9.7795 -1.7611 1.0168 9.7795 0.0000 -2.0335 9.7795" Properties=species:S:1:pos:R:3 pbc="T T T"
Mg 0.0000 0.0000 0.0000
I 0.0000 0.0000 14.6693
F 0.0000 0.0000 1.7545
F 0.0000 0.0000 27.5840
```

Output
As for the crystal system: trigonal. Its space-group type is No. 166.

=====

--- 2 ---
Here is crystalline MgIF2 at its relaxed geometry from the Alexandria database. Energies are from PBE-GGA.

extended XYZ file:
```
4
Lattice="0.0000 3.2484 3.2484 3.2484 0.0000 3.2484 3.2484 3.2484 0.0000" Properties=species:S:1:pos:R:3 pbc="T T T"
Mg 0.0000 0.0000 0.0000
I 3.2484 3.2484 3.2484
F 1.6242 1.6242 1.6242
F 4.8725 4.8725 4.8725
```

Output
As for the crystal system: cubic. Its space-group type is No. 225.

=====

--- 3 ---
Here is crystalline MgIF2 at its relaxed geometry from the Alexandria database. Energies are from PBE-GGA.

extended XYZ file:
```
8
Lattice="-3.0932 3.0932 4.3843 3.0932 -3.0932 4.3843 3.0932 3.0932 -4.3843" Properties=species:S:1:pos:R:3 pbc="T T T"
Mg 3.0932 1.5466 1.0961
Mg 0.0000 1.5466 3.2882
I 3.0932 -1.5466 3.2882
I 0.0000 4.6398 1.0961
F 3.0932 0.0000 0.0000
F -1.5466 1.5466 2.1921
F 0.0000 0.0000 4.3843
F 1.5466 1.5466 2.1921
```

Output
As for the crystal system: tetragonal. Its space-group type is No. 141.

=====

3 takes first place; second place is 918 meV per atom up.

=====

--- 1 ---
Here is crystalline MgIF3 at its relaxed geometry from the Alexandria database. Energies are from PBE-GGA.

extended XYZ file:
```
5
Lattice="4.7902 0.0000 0.0000 0.0000 4.7902 0.0000 0.0000 0.0000 4.7902" Properties=species:S:1:pos:R:3 pbc="T T T"
Mg 0.0000 0.0000 0.0000
I 2.3951 2.3951 2.3951
F 0.0000 2.3951 2.3951
F 2.3951 0.0000 2.3951
F 2.3951 2.3951 0.0000
```

Output
As for the crystal system: cubic. Its space-group type is No. 221.

=====

--- 2 ---
Here is crystalline MgIF3 at its relaxed geometry from the Alexandria database. Energies are from PBE-GGA.

extended XYZ file:
```
5
Lattice="4.1943 0.0000 0.0000 0.0000 4.1943 0.0000 0.0000 0.0000 4.1943" Properties=species:S:1:pos:R:3 pbc="T T T"
Mg 0.0000 0.0000 0.0000
I 2.0972 2.0972 2.0972
F 0.0000 0.0000 2.0972
F 0.0000 2.0972 0.0000
F 2.0972 0.0000 0.0000
```

Output
As for the crystal system: cubic. Its space-group type is No. 221.

=====

2 takes first place; second place is 1232 meV per atom up.

=====

--- 1 ---
Here is crystalline MgI2F2 at its relaxed geometry from the Alexandria database. Energies are from PBE-GGA.

extended XYZ file:
```
5
Lattice="-3.4904 3.4904 3.0497 3.4904 -3.4904 3.0497 3.4904 3.4904 -3.0497" Properties=species:S:1:pos:R:3 pbc="T T T"
Mg 0.0000 0.0000 0.0000
I 3.4904 0.0000 1.5249
I 0.0000 3.4904 1.5249
F 0.0000 0.0000 1.7659
F 0.0000 0.0000 4.3335
```

Output
As for the crystal system: tetragonal. Its space-group type is No. 139.

=====

--- 2 ---
Here is crystalline MgI2F2 at its relaxed geometry from the Alexandria database. Energies are from PBE-GGA.

extended XYZ file:
```
10
Lattice="5.9216 0.0000 0.0000 0.0000 5.9216 0.0000 0.0000 0.0000 8.0138" Properties=species:S:1:pos:R:3 pbc="T T T"
Mg 0.0000 0.0000 0.0000
Mg 2.9608 2.9608 0.0000
I 1.1166 1.8442 4.0069
I 1.8442 4.8050 4.0069
I 4.0773 1.1166 4.0069
I 4.8050 4.0773 4.0069
F 1.4761 4.4369 0.0000
F 1.4847 1.4761 0.0000
F 4.4369 4.4455 0.0000
F 4.4455 1.4847 0.0000
```

Output
As for the crystal system: tetragonal. Its space-group type is No. 127.

=====

2 takes first place; second place is 271 meV per atom up.

=====

--- 1 ---
Here is crystalline Mg3IF at its relaxed geometry from the Alexandria database. Energies are from PBE-GGA.

extended XYZ file:
```
5
Lattice="6.1278 0.0000 0.0000 0.0000 6.1278 0.0000 0.0000 0.0000 6.1278" Properties=species:S:1:pos:R:3 pbc="T T T"
Mg 0.0000 0.0000 3.0639
Mg 0.0000 3.0639 0.0000
Mg 3.0639 0.0000 0.0000
I 0.0000 0.0000 0.0000
F 3.0639 3.0639 3.0639
```

Output
As for the crystal system: cubic. Its space-group type is No. 221.

=====

--- 2 ---
Here is crystalline Mg3IF at its relaxed geometry from the Alexandria database. Energies are from PBE-GGA.

extended XYZ file:
```
5
Lattice="4.9175 0.0000 0.0000 0.0000 4.9175 0.0000 0.0000 0.0000 4.9175" Properties=species:S:1:pos:R:3 pbc="T T T"
Mg 0.0000 0.0000 2.4587
Mg 0.0000 2.4587 0.0000
Mg 2.4587 0.0000 0.0000
I 2.4587 2.4587 2.4587
F 0.0000 0.0000 0.0000
```

Output
As for the crystal system: cubic. Its space-group type is No. 221.

=====

2 takes first place; second place is 831 meV per atom up.

=====

--- 1 ---
Here is crystalline NaMgI2F at its relaxed geometry from the Alexandria database. Energies are from PBE-GGA.

extended XYZ file:
```
5
Lattice="5.9090 0.0000 0.0000 0.0000 5.9090 0.0000 0.0000 0.0000 3.9352" Properties=species:S:1:pos:R:3 pbc="T T T"
Na 0.0000 0.0000 0.0000
Mg 2.9545 2.9545 1.9676
I 0.0000 2.9545 1.9676
I 2.9545 0.0000 1.9676
F 2.9545 2.9545 0.0000
```

Output
As for the crystal system: tetragonal. Its space-group type is No. 123.

=====

--- 2 ---
Here is crystalline NaMgI2F at its relaxed geometry from the Alexandria database. Energies are from PBE-GGA.

extended XYZ file:
```
5
Lattice="5.5621 0.0000 0.0000 0.0000 5.5621 0.0000 0.0000 0.0000 6.2936" Properties=species:S:1:pos:R:3 pbc="T T T"
Na 0.0000 0.0000 0.0000
Mg 0.0000 0.0000 3.1468
I 0.0000 2.7811 0.0000
I 2.7811 0.0000 0.0000
F 2.7811 2.7811 3.1468
```

Output
As for the crystal system: tetragonal. Its space-group type is No. 123.

=====

1 takes first place; second place is 1536 meV per atom up.

=====

--- 1 ---
Here is crystalline MgIOF2 at its relaxed geometry from the Alexandria database. Energies are from PBE-GGA.

extended XYZ file:
```
5
Lattice="3.7043 0.0000 0.0000 0.0000 3.7043 0.0000 0.0000 0.0000 5.5437" Properties=species:S:1:pos:R:3 pbc="T T T"
Mg 0.0000 0.0000 0.0000
I 1.8522 1.8522 2.7719
O 0.0000 0.0000 2.7719
F 0.0000 1.8522 0.0000
F 1.8522 0.0000 0.0000
```

Output
As for the crystal system: tetragonal. Its space-group type is No. 123.

=====

--- 2 ---
Here is crystalline MgIOF2 at its relaxed geometry from the Alexandria database. Energies are from PBE-GGA.

extended XYZ file:
```
5
Lattice="5.0185 0.0000 0.0000 0.0000 5.0185 0.0000 0.0000 0.0000 4.0023" Properties=species:S:1:pos:R:3 pbc="T T T"
Mg 0.0000 0.0000 0.0000
I 2.5093 2.5093 2.0012
O 2.5093 2.5093 0.0000
F 0.0000 2.5093 2.0012
F 2.5093 0.0000 2.0012
```

Output
As for the crystal system: tetragonal. Its space-group type is No. 123.

=====

1 takes first place; second place is 1057 meV per atom up.